No. 1
A plane-wave DFT calculation with GGA-PBE was carried out for a relaxed Ba3Ru crystal.

CIF file:
```
data_Ba3Ru
_chemical_formula_sum 'Ba9 Ru3'
_space_group_name_H-M_alt 'R -3 m'
_space_group_IT_number 166
_space_group_name_Hall '-R 3 2"'
_cell_length_a 11.6203
_cell_length_b 11.6203
_cell_length_c 3.9139
_cell_angle_alpha 90.00
_cell_angle_beta 90.00
_cell_angle_gamma 120.00
loop_
_atom_site_label
_atom_site_type_symbol
_atom_site_fract_x
_atom_site_fract_y
_atom_site_fract_z
_atom_site_occupancy
Ba1 Ba 0.0000 0.5000 0.0000 1
Ru1 Ru 0.0000 0.0000 0.0000 1
```

Output
As for the formation energy: 81.7 kJ/mol of atoms. The value obtained for the total energy is -2.914 eV per atom.

***

No. 2
A plane-wave DFT calculation with GGA-PBE was carried out for a relaxed Ba3Ru crystal.

CIF file:
```
data_Ba3Ru
_chemical_formula_sum 'Ba9 Ru3'
_space_group_name_H-M_alt 'R -3 m'
_space_group_IT_number 166
_space_group_name_Hall '-R 3 2"'
_cell_length_a 4.5889
_cell_length_b 4.5889
_cell_length_c 31.9335
_cell_angle_alpha 90.00
_cell_angle_beta 90.00
_cell_angle_gamma 120.00
loop_
_atom_site_label
_atom_site_type_symbol
_atom_site_fract_x
_atom_site_fract_y
_atom_site_fract_z
_atom_site_occupancy
Ba1 Ba 0.0000 0.0000 0.0000 1
Ba2 Ba 0.0000 0.0000 0.2169 1
Ru1 Ru 0.0000 0.0000 0.5000 1
```

Output
As for the formation energy: 44.9 kJ/mol of atoms. The value obtained for the total energy is -3.295 eV per atom.

***

No. 3
A plane-wave DFT calculation with GGA-PBE was carried out for a relaxed Ba4Ru5 crystal.

CIF file:
```
data_Ba4Ru5
_chemical_formula_sum 'Ba8 Ru10'
_space_group_name_H-M_alt 'I 4/m m m'
_space_group_IT_number 139
_space_group_name_Hall '-I 4 2'
_cell_length_a 12.015
_cell_length_b 12.015
_cell_length_c 4.077
_cell_angle_alpha 90.00
_cell_angle_beta 90.00
_cell_angle_gamma 90.00
loop_
_atom_site_label
_atom_site_type_symbol
_atom_site_fract_x
_atom_site_fract_y
_atom_site_fract_z
_atom_site_occupancy
Ba1 Ba 0.000 0.255 0.000 1
Ru1 Ru 0.000 0.000 0.000 1
Ru2 Ru 0.216 0.216 0.500 1
```

Output
As for the formation energy: 75.7 kJ/mol of atoms. The value obtained for the total energy is -5.223 eV per atom. As for the energy relative to the lowest polymorph listed for this composition: 0.00 eV/f.u.

***

No. 4
A plane-wave DFT calculation with GGA-PBE was carried out for a relaxed BaRu crystal.

CIF file:
```
data_BaRu
_chemical_formula_sum 'Ba1 Ru1'
_space_group_name_H-M_alt 'P -6 m 2'
_space_group_IT_number 187
_space_group_name_Hall 'P -6 2'
_cell_length_a 3.6132
_cell_length_b 3.6132
_cell_length_c 4.6899
_cell_angle_alpha 90.00
_cell_angle_beta 90.00
_cell_angle_gamma 120.00
loop_
_atom_site_label
_atom_site_type_symbol
_atom_site_fract_x
_atom_site_fract_y
_atom_site_fract_z
_atom_site_occupancy
Ba1 Ba 0.0000 0.0000 0.0000 1
Ru1 Ru 0.6667 0.3333 0.5000 1
```

Output
As for the formation energy: 115.0 kJ/mol of atoms. The value obtained for the total energy is -4.407 eV per atom.

***

No. 5
A plane-wave DFT calculation with GGA-PBE was carried out for a relaxed Ba2Ru crystal.

CIF file:
```
data_Ba2Ru
_chemical_formula_sum 'Ba8 Ru4'
_space_group_name_H-M_alt 'P 63/m m c'
_space_group_IT_number 194
_space_group_name_Hall '-P 6c 2c'
_cell_length_a 7.6208
_cell_length_b 7.6208
_cell_length_c 9.8706
_cell_angle_alpha 90.00
_cell_angle_beta 90.00
_cell_angle_gamma 120.00
loop_
_atom_site_label
_atom_site_type_symbol
_atom_site_fract_x
_atom_site_fract_y
_atom_site_fract_z
_atom_site_occupancy
Ba1 Ba 0.0000 0.0000 0.0000 1
Ba2 Ba 0.1866 0.3733 0.2500 1
Ru1 Ru 0.3333 0.6667 0.0256 1
```

Output
As for the formation energy: 127.8 kJ/mol of atoms. The value obtained for the total energy is -3.049 eV per atom.

***

No. 6
A plane-wave DFT calculation with GGA-PBE was carried out for a relaxed Ba3Ru crystal.

CIF file:
```
data_Ba3Ru
_chemical_formula_sum 'Ba3 Ru1'
_space_group_name_H-M_alt 'P 4 m m'
_space_group_IT_number 99
_cell_length_a 5.072
_cell_length_b 5.072
_cell_length_c 6.741
_cell_angle_alpha 90.00
_cell_angle_beta 90.00
_cell_angle_gamma 90.00
loop_
_space_group_symop_operation_xyz
'x,y,z'
'-y,x,z'
'-x,-y,z'
'y,-x,z'
'-x,y,z'
'y,x,z'
'x,-y,z'
'-y,-x,z'
loop_
_atom_site_label
_atom_site_type_symbol
_atom_site_fract_x
_atom_site_fract_y
_atom_site_fract_z
_atom_site_occupancy
Ba1 Ba 0.000 0.000 0.000 1
Ba2 Ba 0.000 0.500 0.545 1
Ru1 Ru 0.500 0.500 0.824 1
```

Output
As for the formation energy: 54.4 kJ/mol of atoms. The value obtained for the total energy is -3.198 eV per atom.

***

No. 7
A plane-wave DFT calculation with GGA-PBE was carried out for a relaxed BaRu crystal.

CIF file:
```
data_BaRu
_chemical_formula_sum 'Ba2 Ru2'
_space_group_name_H-M_alt 'P 1'
_space_group_IT_number 1
_cell_length_a 4.133
_cell_length_b 4.134
_cell_length_c 9.406
_cell_angle_alpha 89.62
_cell_angle_beta 89.86
_cell_angle_gamma 60.01
loop_
_space_group_symop_operation_xyz
'x,y,z'
loop_
_atom_site_label
_atom_site_type_symbol
_atom_site_fract_x
_atom_site_fract_y
_atom_site_fract_z
_atom_site_occupancy
Ba1 Ba 0.000 0.000 0.000 1
Ba2 Ba 0.332 0.343 0.450 1
Ru1 Ru 0.333 0.337 0.773 1
Ru2 Ru 0.666 0.672 0.714 1
```

Output
As for the formation energy: 28.0 kJ/mol of atoms. The value obtained for the total energy is -5.309 eV per atom.

***

No. 8
A plane-wave DFT calculation with GGA-PBE was carried out for a relaxed BaRu crystal.

CIF file:
```
data_BaRu
_chemical_formula_sum 'Ba4 Ru4'
_space_group_name_H-M_alt 'P 42/m n m'
_space_group_IT_number 136
_space_group_name_Hall '-P 4n 2n'
_cell_length_a 6.673
_cell_length_b 6.673
_cell_length_c 6.306
_cell_angle_alpha 90.00
_cell_angle_beta 90.00
_cell_angle_gamma 90.00
loop_
_atom_site_label
_atom_site_type_symbol
_atom_site_fract_x
_atom_site_fract_y
_atom_site_fract_z
_atom_site_occupancy
Ba1 Ba 0.193 0.193 0.000 1
Ru1 Ru 0.125 0.125 0.500 1
```

Output
As for the formation energy: 88.7 kJ/mol of atoms. The value obtained for the total energy is -4.679 eV per atom.

***

No. 9
A plane-wave DFT calculation with GGA-PBE was carried out for a relaxed Ba5Ru crystal.

CIF file:
```
data_Ba5Ru
_chemical_formula_sum 'Ba5 Ru1'
_space_group_name_H-M_alt 'P 6/m m m'
_space_group_IT_number 191
_space_group_name_Hall '-P 6 2'
_cell_length_a 7.0040
_cell_length_b 7.0040
_cell_length_c 7.2226
_cell_angle_alpha 90.00
_cell_angle_beta 90.00
_cell_angle_gamma 120.00
loop_
_atom_site_label
_atom_site_type_symbol
_atom_site_fract_x
_atom_site_fract_y
_atom_site_fract_z
_atom_site_occupancy
Ba1 Ba 0.0000 0.5000 0.0000 1
Ba2 Ba 0.3333 0.6667 0.5000 1
Ru1 Ru 0.0000 0.0000 0.5000 1
```

Output
As for the formation energy: 100.6 kJ/mol of atoms. The value obtained for the total energy is -2.105 eV per atom. As for the energy relative to the lowest polymorph listed for this composition: 3.98 eV/f.u.

***

No. 10
A plane-wave DFT calculation with GGA-PBE was carried out for a relaxed Ba3Ru crystal.

CIF file:
```
data_Ba3Ru
_chemical_formula_sum 'Ba3 Ru1'
_space_group_name_H-M_alt 'P m -3 m'
_space_group_IT_number 221
_space_group_name_Hall '-P 4 2 3'
_cell_length_a 6.049
_cell_length_b 6.049
_cell_length_c 6.049
_cell_angle_alpha 90.00
_cell_angle_beta 90.00
_cell_angle_gamma 90.00
loop_
_atom_site_label
_atom_site_type_symbol
_atom_site_fract_x
_atom_site_fract_y
_atom_site_fract_z
_atom_site_occupancy
Ba1 Ba 0.000 0.000 0.500 1
Ru1 Ru 0.000 0.000 0.000 1
```

Output
As for the formation energy: 35.8 kJ/mol of atoms. The value obtained for the total energy is -3.390 eV per atom.